First-principles (GGA+U) data for a relaxed structure of LiMnPO4, as listed in Alexandria via LeMat-Bulk.

Unit cell a=4.6706 b=5.3456 c=7.4526 alpha=90.30 beta=103.70 gamma=104.13
Last column: nearest neighbours and their distance in Å.
Fractional positions:
Li 0.2277 0.2146 0.4915  3 O 1.97-1.98
Li 0.7723 0.7854 0.5085  3 O 1.97-1.98
Mn 0.4517 0.2598 0.1032  4 O 2.04-2.16
Mn 0.5483 0.7402 0.8968  4 O 2.04-2.16
P 0.1497 0.6900 0.2462  4 O 1.53-1.57
P 0.8503 0.3100 0.7538  4 O 1.53-1.57
O 0.1499 0.8414 0.4217  1 P 1.53
O 0.1824 0.4100 0.8751  1 P 1.56
O 0.2910 0.4563 0.2982  1 P 1.56
O 0.3415 0.8696 0.1280  1 P 1.57
O 0.6585 0.1304 0.8720  1 P 1.57
O 0.7090 0.5437 0.7018  1 P 1.56
O 0.8176 0.5900 0.1249  1 P 1.56
O 0.8501 0.1586 0.5783  1 P 1.53

Properties
total DFT energy (no corrections) = -7.134 eV per atom
density of states at the Fermi level = 0.0 states/eV/cell
total magnetization = 5.0 μB/f.u.
mass density = 2.98 g cm⁻³